TbPm8Dy2 | GGA-PBE | optimized geometry

Total magnetic moment (μB per atom): 0.000
Formation energy from the elements (kJ/mol of formula units): 177
DOS(E_F) (states/eV/f.u.): 17.9

Lattice parameters (Å, degrees): 9.059 9.059 6.714 99.46 99.46 43.94
Positions (direct):
Tb 0.000 0.000 0.000
Pm 0.174 0.650 0.595
Pm 0.244 0.244 0.317
Pm 0.350 0.826 0.405
Pm 0.407 0.407 0.088
Pm 0.593 0.593 0.912
Pm 0.650 0.174 0.595
Pm 0.756 0.756 0.683
Pm 0.826 0.350 0.405
Dy 0.199 0.199 0.806
Dy 0.801 0.801 0.194

---

HfTa2AgBr | GGA-PBE | optimized geometry

Total magnetic moment (μB per atom): 0.000
E (eV per atom): -6.327
DOS(E_F) (states/eV/f.u.): 4.8

Lattice parameters (Å, degrees): 4.741 4.741 4.877 90.00 90.00 90.00
Positions (direct):
Hf 0.000 0.000 0.000
Ta 0.000 0.500 0.500
Ta 0.500 0.000 0.500
Ag 0.500 0.500 0.000
Br 0.500 0.500 0.500

---

RbPm2Se3 | GGA-PBE | optimized geometry

Total magnetic moment (μB per atom): 0.000
E (eV per atom): -5.253
DOS(E_F) (states/eV/f.u.): 1.9

Lattice parameters (Å, degrees): 4.266 4.266 23.046 90.00 90.00 120.00
Positions (direct):
Rb 0.000 0.000 0.250
Rb 0.000 0.000 0.750
Pm 0.333 0.667 0.075
Pm 0.333 0.667 0.425
Pm 0.667 0.333 0.575
Pm 0.667 0.333 0.925
Se 0.000 0.000 0.000
Se 0.000 0.000 0.500
Se 0.333 0.667 0.645
Se 0.333 0.667 0.855
Se 0.667 0.333 0.145
Se 0.667 0.333 0.355

---

Ba2TeCl | GGA-PBE | optimized geometry

Total magnetic moment (μB per atom): 0.045
E (eV per atom): -3.869
DOS(E_F) (states/eV/f.u.): 3.3

Lattice parameters (Å, degrees): 5.816 5.816 5.816 60.00 60.00 60.00
Positions (direct):
Ba 0.250 0.250 0.250
Ba 0.750 0.750 0.750
Te 0.000 0.000 0.000
Cl 0.500 0.500 0.500

---

LiLaHoMg | GGA-PBE | optimized geometry

Total magnetic moment (μB per atom): 0.000
Formation energy from the elements (kJ/mol of formula units): 12
DOS(E_F) (states/eV/f.u.): 6.4

Lattice parameters (Å, degrees): 5.442 5.442 5.442 60.00 60.00 60.00
Positions (direct):
Li 0.000 0.000 0.000
La 0.250 0.250 0.250
Ho 0.750 0.750 0.750
Mg 0.500 0.500 0.500

---

MnInAs2Br | GGA-PBE | optimized geometry

Total magnetic moment (μB per atom): 0.530
E (eV per atom): -4.478
DOS(E_F) (states/eV/f.u.): 1.6

Lattice parameters (Å, degrees): 4.638 4.638 6.175 90.00 90.00 90.00
Positions (direct):
Mn 0.000 0.000 0.000
In 0.500 0.500 0.500
As 0.000 0.500 0.000
As 0.500 0.000 0.000
Br 0.000 0.000 0.500

---

Tc2P2Ir | GGA-PBE | optimized geometry

Total magnetic moment (μB per atom): 0.000
Formation energy from the elements (kJ/mol of formula units): -86
DOS(E_F) (states/eV/f.u.): 3.8

Lattice parameters (Å, degrees): 6.860 6.860 2.854 90.00 90.00 90.00
Positions (direct):
Tc 0.149 0.351 0.000
Tc 0.351 0.851 0.000
Tc 0.649 0.149 0.000
Tc 0.851 0.649 0.000
P 0.153 0.653 0.500
P 0.347 0.153 0.500
P 0.653 0.847 0.500
P 0.847 0.347 0.500
Ir 0.000 0.000 0.500
Ir 0.500 0.500 0.500

---

CrTe4Au | GGA-PBE | optimized geometry

Total magnetic moment (μB per atom): 0.483
E (eV per atom): -4.389
DOS(E_F) (states/eV/f.u.): 1.3

Lattice parameters (Å, degrees): 5.533 4.082 7.549 90.00 90.01 90.00
Positions (direct):
Cr 0.000 0.000 0.000
Te 0.219 0.000 0.677
Te 0.294 0.500 0.118
Te 0.706 0.500 0.882
Te 0.781 0.000 0.323
Au 0.000 0.500 0.500

---

- Look up the DOS(E_F) of the seventh one.
  3.8 states/eV/f.u.

---

- What is the total magnetic moment in the fifth record?
  0.000 μB per atom

---

- Look up the total magnetic moment of the second one.
  0.000 μB per atom